Entry 1:
Here is an optimized crystal structure of Tb3Sm2Cd from Alexandria. Energies are from GGA-PBE.

Unit cell a=3.604 b=3.604 c=14.211 alpha=90.00 beta=90.00 gamma=90.00
Space group P4/mmm (No. 123)
Asymmetric unit:
Tb1 0.000 0.000 0.000 x1
Tb2 0.000 0.000 0.355 x2
Sm1 0.500 0.500 0.179 x2
Cd1 0.500 0.500 0.500 x1

Computed properties:
Its density of states at the Fermi level is 7.47 states/eV/cell. As for the energy above the most stable polymorph in this dataset: 0.000 eV per formula unit. As for the formation energy: -9 kJ/mol of atoms. The value obtained for the total magnetization is 0.0 Bohr magnetons per cell.


Entry 2:
Here is an optimized crystal structure of Lu2B6Os from Alexandria. Energies are from GGA-PBE.

Unit cell a=9.029 b=11.395 c=3.598 alpha=90.00 beta=90.00 gamma=90.00
Space group Pbam (No. 55)
Asymmetric unit:
Lu1 0.056 0.126 0.000 x4
Lu2 0.180 0.414 0.000 x4
B1 0.019 0.287 0.500 x4
B2 0.053 0.566 0.500 x4
B3 0.107 0.970 0.500 x4
B4 0.130 0.816 0.500 x4
B5 0.209 0.234 0.500 x4
B6 0.249 0.579 0.500 x4
Os1 0.137 0.679 0.000 x4

Computed properties:
Its density of states at the Fermi level is 3.07 states/eV/cell. As for the formation energy: -70 kJ/mol of atoms. The value obtained for the total magnetization is 0.0 Bohr magnetons per cell.


Entry 3:
Here is an optimized crystal structure of DyHoCuSn from Alexandria. Energies are from GGA-PBE.

Unit cell a=7.254 b=7.254 c=7.254 alpha=90.00 beta=90.00 gamma=90.00
Space group F-43m (No. 216)
Asymmetric unit:
Dy1 0.000 0.000 0.000 x4
Ho1 0.000 0.000 0.500 x4
Cu1 0.250 0.250 0.250 x4
Sn1 0.250 0.250 0.750 x4

Computed properties:
Its density of states at the Fermi level is 13.94 states/eV/cell. As for the formation energy: -41 kJ/mol of atoms. The value obtained for the total magnetization is 0.0 Bohr magnetons per cell.


Entry 4:
Here is an optimized crystal structure of Tl5Hg3Pd12 from Alexandria. Energies are from GGA-PBE.

Unit cell a=15.739 b=15.739 c=15.739 alpha=90.00 beta=90.00 gamma=90.00
Space group Ia-3d (No. 230)
Asymmetric unit:
Tl1 0.000 0.000 0.000 x16
Tl2 0.000 0.250 0.375 x24
Hg1 0.000 0.250 0.125 x24
Pd1 0.002 0.075 0.653 x96

Computed properties:
Its density of states at the Fermi level is 68.88 states/eV/cell. As for the formation energy: 17 kJ/mol of atoms. The value obtained for the total magnetization is 0.0 Bohr magnetons per cell.


Entry 5:
Here is an optimized crystal structure of AgSn2Pd from Alexandria. Energies are from GGA-PBE.

Unit cell a=7.830 b=7.830 c=5.939 alpha=90.00 beta=90.00 gamma=90.00
Space group I-42d (No. 122)
Asymmetric unit:
Ag1 0.000 0.000 0.000 x4
Sn1 0.220 0.250 0.625 x8
Pd1 0.000 0.000 0.500 x4

Computed properties:
Its density of states at the Fermi level is 7.04 states/eV/cell. As for the energy above the most stable polymorph in this dataset: 0.728 eV per formula unit. As for the formation energy: 1 kJ/mol of atoms. The value obtained for the total magnetization is 0.0 Bohr magnetons per cell.


Entry 6:
Here is an optimized crystal structure of Sc2CrCu from Alexandria. Energies are from GGA-PBE.

Unit cell a=3.1168 b=3.1168 c=26.0218 alpha=90.00 beta=90.00 gamma=120.00
Space group R-3m (No. 166, hexagonal axes)
Asymmetric unit:
Sc1 0.0000 0.0000 0.2503 x6
Cr1 0.0000 0.0000 0.0000 x3
Cu1 0.0000 0.0000 0.5000 x3

Computed properties:
Its density of states at the Fermi level is 13.69 states/eV/cell. As for the energy above the most stable polymorph in this dataset: 1.119 eV per formula unit. As for the formation energy: 28 kJ/mol of atoms. The value obtained for the total magnetization is 7.0 Bohr magnetons per cell.


Entry 7:
Here is an optimized crystal structure of CaPm2Pr2Nd2 from Alexandria. Energies are from GGA-PBE.

Unit cell a=11.694 b=5.239 c=8.310 alpha=90.00 beta=98.37 gamma=90.00
Space group C2/m (No. 12)
Asymmetric unit:
Ca1 0.000 0.000 0.000 x2
Pm1 0.145 0.000 0.433 x4
Pr1 0.217 0.500 0.149 x4
Nd1 0.075 0.500 0.705 x4

Computed properties:
Its density of states at the Fermi level is 22.34 states/eV/cell. As for the formation energy: 4 kJ/mol of atoms. The value obtained for the total magnetization is 0.0 Bohr magnetons per cell.


Entry 8:
Here is an optimized crystal structure of GaSI2O from Alexandria. Energies are from GGA-PBE.

Unit cell a=5.868 b=5.868 c=3.652 alpha=90.00 beta=90.00 gamma=90.00
Space group P4/mmm (No. 123)
Asymmetric unit:
Ga1 0.000 0.000 0.000 x1
S1 0.500 0.500 0.500 x1
I1 0.000 0.500 0.500 x2
O1 0.500 0.500 0.000 x1

Computed properties:
Its density of states at the Fermi level is 0.66 states/eV/cell. As for the energy above the most stable polymorph in this dataset: 0.000 eV per formula unit. Its uncorrected formation energy is 44 meV/atom. The value obtained for the total magnetization is 0.0 Bohr magnetons per cell.


Entry 9:
Here is an optimized crystal structure of Te2PtICl from Alexandria. Energies are from GGA-PBE.

Unit cell a=5.418 b=5.418 c=5.372 alpha=90.00 beta=90.00 gamma=90.00
Space group P4/mmm (No. 123)
Asymmetric unit:
Te1 0.000 0.500 0.000 x2
Pt1 0.000 0.000 0.500 x1
I1 0.500 0.500 0.500 x1
Cl1 0.500 0.500 0.000 x1

Computed properties:
Its density of states at the Fermi level is 8.90 states/eV/cell. As for the energy above the most stable polymorph in this dataset: 4.878 eV per formula unit. Its uncorrected formation energy is 1279 meV/atom. The value obtained for the total magnetization is 1.8 Bohr magnetons per cell.


Entry 10:
Here is an optimized crystal structure of Dy2YMgC from Alexandria. Energies are from GGA-PBE.

Unit cell a=4.980 b=4.980 c=4.985 alpha=90.00 beta=90.00 gamma=90.00
Space group P4/mmm (No. 123)
Asymmetric unit:
Dy1 0.000 0.500 0.000 x2
Y1 0.000 0.000 0.500 x1
Mg1 0.500 0.500 0.500 x1
C1 0.000 0.000 0.000 x1

Computed properties:
Its density of states at the Fermi level is 5.96 states/eV/cell. As for the formation energy: -18 kJ/mol of atoms. The value obtained for the total magnetization is 0.8 Bohr magnetons per cell.


Entry 11:
Here is an optimized crystal structure of TeAsIO2 from Alexandria. Energies are from GGA-PBE.

Unit cell a=4.053 b=4.053 c=6.892 alpha=90.00 beta=90.00 gamma=90.00
Space group P4/mmm (No. 123)
Asymmetric unit:
Te1 0.000 0.000 0.000 x1
As1 0.500 0.500 0.500 x1
I1 0.500 0.500 0.000 x1
O1 0.000 0.500 0.500 x2

Computed properties:
Its density of states at the Fermi level is 3.38 states/eV/cell. As for the energy above the most stable polymorph in this dataset: 0.661 eV per formula unit. Its uncorrected formation energy is 127 meV/atom. The value obtained for the total magnetization is 0.0 Bohr magnetons per cell.


Entry 12:
Here is an optimized crystal structure of CaZnSi2 from Alexandria. Energies are from GGA-PBE.

Unit cell a=5.713 b=5.740 c=9.078 alpha=90.00 beta=90.00 gamma=90.00
Space group Fmmm (No. 69)
Asymmetric unit:
Ca1 0.000 0.000 0.000 x4
Zn1 0.000 0.000 0.500 x4
Si1 0.250 0.250 0.250 x8

Computed properties:
Its density of states at the Fermi level is 7.18 states/eV/cell. Its uncorrected formation energy is 50 meV/atom. The value obtained for the total magnetization is 0.0 Bohr magnetons per cell.


Entry 13:
Here is an optimized crystal structure of Tb12Tl5Au2 from Alexandria. Energies are from GGA-PBE.

Unit cell a=17.208 b=7.300 c=9.035 alpha=90.00 beta=95.34 gamma=90.00
Space group C2/m (No. 12)
Asymmetric unit:
Tb1 0.001 0.000 0.199 x4
Tb2 0.042 0.500 0.684 x4
Tb3 0.149 0.244 0.010 x8
Tb4 0.158 0.256 0.426 x8
Tl1 0.000 0.500 0.000 x2
Tl2 0.204 0.000 0.740 x4
Tl3 0.229 0.500 0.752 x4
Au1 0.000 0.187 0.500 x4

Computed properties:
Its density of states at the Fermi level is 43.53 states/eV/cell. As for the formation energy: -25 kJ/mol of atoms. The value obtained for the total magnetization is 0.0 Bohr magnetons per cell.


Entry 14:
Here is an optimized crystal structure of Er4CoAg from Alexandria. Energies are from GGA-PBE.

Unit cell a=13.171 b=13.171 c=13.171 alpha=90.00 beta=90.00 gamma=90.00
Space group F-43m (No. 216)
Asymmetric unit:
Er1 0.000 0.000 0.188 x24
Er2 0.062 0.250 0.250 x24
Er3 0.152 0.152 0.652 x16
Co1 0.141 0.141 0.859 x16
Ag1 0.082 0.082 0.418 x16

Computed properties:
Its density of states at the Fermi level is 105.20 states/eV/cell. As for the energy above the most stable polymorph in this dataset: 0.000 eV per formula unit. As for the formation energy: -24 kJ/mol of atoms. The value obtained for the total magnetization is 0.0 Bohr magnetons per cell.


Entry 15:
Here is an optimized crystal structure of Sm6GaSi2 from Alexandria. Energies are from GGA-PBE.

Unit cell a=9.680 b=9.911 c=10.263 alpha=90.00 beta=90.00 gamma=90.00
Space group Immm (No. 71)
Asymmetric unit:
Sm1 0.000 0.200 0.245 x8
Sm2 0.208 0.500 0.176 x8
Sm3 0.232 0.321 0.500 x8
Ga1 0.000 0.000 0.000 x2
Ga2 0.000 0.000 0.500 x2
Si1 0.000 0.371 0.000 x4
Si2 0.000 0.500 0.385 x4

Computed properties:
Its density of states at the Fermi level is 26.40 states/eV/cell. Its uncorrected formation energy is -508 meV/atom. The value obtained for the total magnetization is 0.0 Bohr magnetons per cell.


Entry 16:
Here is an optimized crystal structure of Na2InW from Alexandria. Energies are from GGA-PBE.

Unit cell a=8.531 b=8.531 c=5.659 alpha=90.00 beta=90.00 gamma=90.00
Space group I-42d (No. 122)
Asymmetric unit:
Na1 0.245 0.250 0.125 x8
In1 0.000 0.000 0.000 x4
W1 0.000 0.000 0.500 x4

Computed properties:
Its density of states at the Fermi level is 9.87 states/eV/cell. As for the formation energy: 121 kJ/mol of atoms. The value obtained for the total magnetization is 12.7 Bohr magnetons per cell.


Entry 17:
Here is an optimized crystal structure of SmOsC from Alexandria. Energies are from GGA-PBE.

Unit cell a=3.4966 b=3.4966 c=4.7332 alpha=90.00 beta=90.00 gamma=120.00
Space group P-6m2 (No. 187)
Asymmetric unit:
Sm1 0.0000 0.0000 0.0000 x1
Os1 0.3333 0.6667 0.5000 x1
C1 0.6667 0.3333 0.5000 x1

Computed properties:
Its density of states at the Fermi level is 2.18 states/eV/cell. As for the energy above the most stable polymorph in this dataset: 0.000 eV per formula unit. As for the formation energy: 6 kJ/mol of atoms. The value obtained for the total magnetization is 0.0 Bohr magnetons per cell.


Entry 18:
Here is an optimized crystal structure of SrWI2 from Alexandria. Energies are from GGA-PBE.

Unit cell a=5.656 b=5.656 c=18.356 alpha=90.00 beta=90.00 gamma=90.00
Space group I-42d (No. 122)
Asymmetric unit:
Sr1 0.000 0.000 0.000 x4
W1 0.000 0.000 0.500 x4
I1 0.197 0.250 0.625 x8

Computed properties:
Its density of states at the Fermi level is 7.08 states/eV/cell. As for the energy above the most stable polymorph in this dataset: 0.000 eV per formula unit. Its uncorrected formation energy is 578 meV/atom. The value obtained for the total magnetization is 16.0 Bohr magnetons per cell.


Entry 19:
Here is an optimized crystal structure of ScPbC2N from Alexandria. Energies are from GGA-PBE.

Unit cell a=4.157 b=4.157 c=6.225 alpha=90.00 beta=90.00 gamma=90.00
Space group P4/mmm (No. 123)
Asymmetric unit:
Sc1 0.000 0.000 0.000 x1
Pb1 0.000 0.000 0.500 x1
C1 0.000 0.500 0.500 x2
N1 0.500 0.500 0.000 x1

Computed properties:
Its density of states at the Fermi level is 2.01 states/eV/cell. Its uncorrected formation energy is 2981 meV/atom. The value obtained for the total magnetization is 1.6 Bohr magnetons per cell.